# 1
A plane-wave DFT calculation with PBE was carried out for a relaxed structure of MgMnTcPt2.

The space group is P4/mmm (No. 123) and the conventional cell measures 4.7208, 4.7208 and 4.2510 Å, with angles of 90.00, 90.00 and 90.00 degrees. The inequivalent atoms are Mg at (0.0000, 0.0000, 0.0000), Mn at (0.5000, 0.5000, 0.5000), Tc at (0.5000, 0.5000, 0.0000) and Pt at (0.0000, 0.5000, 0.5000).

---

# 2
A plane-wave DFT calculation with PBE was carried out for a relaxed structure of AcCeThCd.

The space group is F-43m (No. 216) and the conventional cell measures 7.9868, 7.9868 and 7.9868 Å, with angles of 90.00, 90.00 and 90.00 degrees. The inequivalent atoms are Ac at (0.0000, 0.0000, 0.0000), Ce at (0.2500, 0.2500, 0.7500), Th at (0.2500, 0.2500, 0.2500) and Cd at (0.0000, 0.0000, 0.5000).

---

# 3
A plane-wave DFT calculation with PBE was carried out for a relaxed structure of CuBIr.

The space group is P3m1 (No. 156) and the conventional cell measures 3.6138, 3.6138 and 3.1480 Å, with angles of 90.00, 90.00 and 120.00 degrees. The inequivalent atoms are Cu at (0.0000, 0.0000, 0.0000), B at (0.6667, 0.3333, 0.5034) and Ir at (0.3333, 0.6667, 0.5004).

---

# 4
A plane-wave DFT calculation with PBE was carried out for a relaxed structure of RbYTe2.

The space group is R3m (No. 160, hexagonal axes) and the conventional cell measures 4.5104, 4.5104 and 25.9746 Å, with angles of 90.00, 90.00 and 120.00 degrees. The inequivalent atoms are Rb at (0.0000, 0.0000, 0.0000), Y at (0.0000, 0.0000, 0.1686), Te at (0.0000, 0.0000, 0.5680) and Te at (0.0000, 0.0000, 0.7688).

The energy relative to the elements, uncorrected comes out at -1389 meV per atom.

---

# 5
A plane-wave DFT calculation with PBE was carried out for a relaxed structure of LiPu3Br8.

The space group is C2/m (No. 12) and the conventional cell measures 14.5484, 8.5185 and 8.4713 Å, with angles of 90.00, 124.78 and 90.00 degrees. The inequivalent atoms are Li at (0.0000, 0.0000, 0.0000), Pu at (0.0000, 0.5000, 0.0000), Pu at (0.2500, 0.2500, 0.5000), Br at (0.0038, 0.2415, 0.2352), Br at (0.2376, 0.0000, 0.2477) and Br at (0.2485, 0.5000, 0.2541).

The energy relative to the elements, uncorrected comes out at -1516 meV per atom.

---

# 6
A plane-wave DFT calculation with PBE was carried out for a relaxed structure of Ac3Mg.

The space group is P4/mmm (No. 123) and the conventional cell measures 4.0538, 4.0538 and 9.7766 Å, with angles of 90.00, 90.00 and 90.00 degrees. The inequivalent atoms are Ac at (0.0000, 0.0000, 0.0000), Ac at (0.5000, 0.5000, 0.2828) and Mg at (0.0000, 0.0000, 0.5000).

---

# 7
A plane-wave DFT calculation with PBE was carried out for a relaxed structure of KNiAg2.

The space group is P4/mmm (No. 123) and the conventional cell measures 5.1246, 5.1246 and 3.0526 Å, with angles of 90.00, 90.00 and 90.00 degrees. The inequivalent atoms are K at (0.0000, 0.0000, 0.0000), Ni at (0.5000, 0.5000, 0.0000) and Ag at (0.0000, 0.5000, 0.5000).

---

# 8
A plane-wave DFT calculation with PBE was carried out for a relaxed structure of PuCdPt.

The space group is F-43m (No. 216) and the conventional cell measures 6.7304, 6.7304 and 6.7304 Å, with angles of 90.00, 90.00 and 90.00 degrees. The inequivalent atoms are Pu at (0.0000, 0.0000, 0.0000), Cd at (0.0000, 0.0000, 0.5000) and Pt at (0.2500, 0.2500, 0.7500).

---

Going through the records in order, we get VASP energy values of -6.03; -4.40; -6.47; -4.82; -6.37; -3.52; -2.59; -7.53 eV/atom.
Going through the records in order, we get calculated volume values of 18.9; 31.8; 11.9; 38.1; 35.9; 40.2; 20.0; 25.4 Å³ per atom.
Going through the records in order, we get total moment values of 1.68; 1.00; 0.00; 0.00; 17.00; 0.00; 0.00; 5.54 μB/f.u..